The following is a DFT calculation (PBE) of a geometry-optimized LaHgAs3 structure.

Energy of formation from the pure elements = 0.120 eV/atom
DOS(E_F) = 0.809 states/eV/atom
Raw total energy = -3.72 eV/atom
M_tot = 0.000 μB/cell

The structure in POSCAR format:
```
LaHgAs3
1.0
5.163 0.000 0.000
0.000 5.163 0.000
0.000 0.000 5.163
La Hg As
1 1 3
direct
0.000 0.000 0.000
0.500 0.500 0.500
0.000 0.500 0.500
0.500 0.000 0.500
0.500 0.500 0.000
```

=====

The following is a DFT calculation (PBE) of a geometry-optimized La2HgAs structure.

Energy of formation from the pure elements = -0.858 eV/atom
DOS(E_F) = 1.122 states/eV/atom
Raw total energy = -4.56 eV/atom
M_tot = 0.707 μB/cell

The structure in POSCAR format:
```
La2HgAs
1.0
4.508 0.000 0.000
0.000 2.212 5.860
0.000 -2.212 5.860
La Hg As
2 1 1
direct
0.000 0.000 0.000
0.500 0.274 0.274
0.500 0.550 0.550
0.000 0.733 0.733
```

=====

The following is a DFT calculation (PBE) of a geometry-optimized La3HgAs structure.

Energy of formation from the pure elements = -0.473 eV/atom
DOS(E_F) = 1.445 states/eV/atom
Raw total energy = -4.42 eV/atom
M_tot = 0.000 μB/cell

The structure in POSCAR format:
```
La3HgAs
1.0
5.708 0.000 0.000
0.000 5.708 0.000
0.000 0.000 5.708
La Hg As
3 1 1
direct
0.000 0.000 0.500
0.000 0.500 0.000
0.500 0.000 0.000
0.500 0.500 0.500
0.000 0.000 0.000
```

=====

What is the raw total energy in the third record? -4.42 eV/atom